# 1
Computed, not measured: a relaxed structure of KBaTe at the PBE level of DFT.

Cell and atoms, written as POSCAR:
```
KBaTe
1.0
5.8377 0.0000 0.0000
2.9189 5.0556 0.0000
2.9189 1.6852 4.7665
K Ba Te
1 1 1
direct
0.5000 0.5000 0.5000
0.0000 0.0000 0.0000
0.7500 0.7500 0.7500
```

Energy above the most stable polymorph in this dataset in eV per atom: 0.018
Density of states at the Fermi level in states/eV per cell: 1.4
E_form (uncorrected) in eV/atom: -0.96
Space-group type: F-43m (216)

=====

# 2
Computed, not measured: a relaxed structure of KBa5Te6 at the PBE level of DFT.

Cell and atoms, written as POSCAR:
```
KBa5Te6
1.0
8.5378 -0.1336 -1.6089
-4.6136 7.1852 -1.6089
0.1670 0.3001 8.6767
Ba Te K
5 6 1
direct
0.3326 0.6674 0.0000
0.5000 0.5000 0.5000
0.8361 0.1639 0.5000
0.6674 0.3326 0.0000
0.1639 0.8361 0.5000
0.5741 0.9147 0.7456
0.4259 0.0853 0.2544
0.7437 0.7437 0.2520
0.2563 0.2563 0.7480
0.0853 0.4259 0.2544
0.9147 0.5741 0.7456
0.0000 0.0000 0.0000
```

Density of states at the Fermi level in states/eV per cell: 13.1
E_form (uncorrected) in eV/atom: -1.57
Space-group type: C2/m (12)

=====

# 3
Computed, not measured: a relaxed structure of KBa2Te at the PBE level of DFT.

Cell and atoms, written as POSCAR:
```
KBa2Te
1.0
-1.4430 -3.6265 2.7203
-2.2934 -3.6790 -1.9592
9.4175 -8.0980 -1.6207
Ba K Te
2 1 1
direct
0.5258 0.5258 0.4223
0.9742 0.9742 0.0777
0.7500 0.7500 0.7500
0.2500 0.2500 0.2500
```

Density of states at the Fermi level in states/eV per cell: 4.1
E_form (uncorrected) in eV/atom: -0.78
Space-group type: C2/m (12)

=====

# 4
Computed, not measured: a relaxed structure of KBaTe at the PBE level of DFT.

Cell and atoms, written as POSCAR:
```
KBaTe
1.0
-4.6563 2.5710 -6.9343
-6.3243 -1.3628 -5.8756
-3.5473 1.9647 1.7132
Ba Te K
1 1 1
direct
0.9446 0.9446 0.0554
0.3494 0.3494 0.6506
0.7060 0.7060 0.2940
```

Energy above the most stable polymorph in this dataset in eV per atom: 0.010
Density of states at the Fermi level in states/eV per cell: 1.6
E_form (uncorrected) in eV/atom: -0.97
Space-group type: I4mm (107)